1.
TaFe2Ru | meta-GGA SCAN | single point on PBEsol structure

Computed properties:
For the formation energy, the calculation gives -0.22 eV per atom. For the magnetic moment, the calculation gives 19.83 μB/cell. The energy above the lowest structure with this stoichiometry comes out at 10 meV/atom.

Lattice parameters (Å, degrees): 5.9743 5.9743 5.9743 90.00 90.00 90.00
Closest atoms and distances in Å follow each position.
Space group F-43m (No. 216)
One atom of each set of equivalent atoms:
Ta 0.0000 0.0000 0.0000 [4 per cell]  4 Fe 2.59, 4 Ru 2.59
Fe 0.0000 0.0000 0.5000 [4 per cell]  4 Fe 2.59, 4 Ru 2.59
Fe 0.2500 0.2500 0.7500 [4 per cell]  4 Ta 2.59, 4 Fe 2.59
Ru 0.2500 0.2500 0.2500 [4 per cell]  4 Ta 2.59, 4 Fe 2.59



2.
TaFe2Ru | meta-GGA SCAN | single point on PBEsol structure

Computed properties:
For the formation energy, the calculation gives -0.02 eV per atom. For the magnetic moment, the calculation gives 5.45 μB/cell. The energy above the lowest structure with this stoichiometry comes out at 208 meV/atom.

Lattice parameters (Å, degrees): 2.6606 4.1310 4.9970 90.00 103.05 90.00
Closest atoms and distances in Å follow each position.
Space group P2/m (No. 10)
One atom of each set of equivalent atoms:
Ta 0.0000 0.0000 0.0000 [1 per cell]  2 Ru 2.55, 4 Fe 2.60, 2 Ta 2.66
Fe 0.2460 0.5000 0.7422 [2 per cell]  4 Fe 2.48-2.66, 2 Ru 2.56, 2 Ta 2.60
Ru 0.5000 0.0000 0.5000 [1 per cell]  2 Ta 2.55, 4 Fe 2.56, 2 Ru 2.66



3.
TaFeRu2 | meta-GGA SCAN | single point on PBEsol structure

Computed properties:
For the formation energy, the calculation gives -0.36 eV per atom. For the magnetic moment, the calculation gives 18.94 μB/cell. The energy above the lowest structure with this stoichiometry comes out at 0 meV/atom.

Lattice parameters (Å, degrees): 6.0963 6.0963 6.0963 90.00 90.00 90.00
Closest atoms and distances in Å follow each position.
Space group Fm-3m (No. 225)
One atom of each set of equivalent atoms:
Ta 0.0000 0.0000 0.0000 [4 per cell]  8 Ru 2.64
Fe 0.0000 0.0000 0.5000 [4 per cell]  8 Ru 2.64
Ru 0.2500 0.2500 0.2500 [8 per cell]  4 Ta 2.64, 4 Fe 2.64



4.
TaFeRu2 | meta-GGA SCAN | single point on PBEsol structure

Computed properties:
For the formation energy, the calculation gives 0.09 eV per atom. For the magnetic moment, the calculation gives 10.43 μB/cell. The energy above the lowest structure with this stoichiometry comes out at 445 meV/atom.

Lattice parameters (Å, degrees): 2.7400 2.7400 25.8329 90.00 90.00 120.00
Closest atoms and distances in Å follow each position.
Space group R-3m (No. 166, hexagonal axes)
One atom of each set of equivalent atoms:
Ta 0.0000 0.0000 0.0000 [3 per cell]  6 Ta 2.74, 6 Ru 2.79
Fe 0.0000 0.0000 0.5000 [3 per cell]  6 Ru 2.56, 6 Fe 2.74
Ru 0.0000 0.0000 0.2444 [6 per cell]  3 Fe 2.56, 6 Ru 2.74, 3 Ta 2.79



5.
TaFe2Ru | meta-GGA SCAN | single point on PBEsol structure

Computed properties:
For the formation energy, the calculation gives -0.23 eV per atom. For the magnetic moment, the calculation gives 4.90 μB/cell. The energy above the lowest structure with this stoichiometry comes out at 0 meV/atom.

Lattice parameters (Å, degrees): 3.0380 3.0380 5.7790 90.00 90.00 90.00
Closest atoms and distances in Å follow each position.
Space group P4mm (No. 99)
One atom of each set of equivalent atoms:
Ta 0.0000 0.0000 0.0000 [1 per cell]  5 Fe 2.60-2.75, 4 Ru 2.64
Fe 0.0000 0.0000 0.4756 [1 per cell]  4 Fe 2.50, 4 Ru 2.62, 1 Ta 2.75
Fe 0.5000 0.5000 0.2546 [1 per cell]  4 Fe 2.50, 4 Ta 2.60, 1 Ru 2.77
Ru 0.5000 0.5000 0.7340 [1 per cell]  5 Fe 2.62-2.77, 4 Ta 2.64



6.
Fe4TcRu | meta-GGA SCAN | single point on PBEsol structure

Computed properties:
For the formation energy, the calculation gives 0.11 eV per atom. For the magnetic moment, the calculation gives 24.06 μB/cell.

Lattice parameters (Å, degrees): 6.4836 6.4836 6.4836 90.00 90.00 90.00
Closest atoms and distances in Å follow each position.
Space group F-43m (No. 216)
One atom of each set of equivalent atoms:
Fe 0.1245 0.1245 0.3755 [16 per cell]  6 Fe 2.28-2.30
Tc 0.0000 0.0000 0.0000 [4 per cell]  12 Fe 2.69, 4 Ru 2.81
Ru 0.2500 0.2500 0.7500 [4 per cell]  12 Fe 2.69, 4 Tc 2.81



7.
Fe2TeRu | meta-GGA SCAN | single point on PBEsol structure

Computed properties:
For the magnetic moment, the calculation gives 0.01 μB/cell. The calculation puts the final energy at -26.50 eV per atom.

Lattice parameters (Å, degrees): 3.7886 3.7886 7.2383 90.00 90.00 90.00
Closest atoms and distances in Å follow each position.
Space group I4/mmm (No. 139)
One atom of each set of equivalent atoms:
Fe 0.0000 0.5000 0.2500 [4 per cell]  4 Ru 2.62, 4 Te 2.62, 4 Fe 2.68
Te 0.0000 0.0000 0.0000 [2 per cell]  8 Fe 2.62, 4 Ru 2.68
Ru 0.0000 0.0000 0.5000 [2 per cell]  8 Fe 2.62, 4 Te 2.68



8.
Fe2TeRu | meta-GGA SCAN | single point on PBEsol structure

Computed properties:
For the magnetic moment, the calculation gives 11.32 μB/cell. The calculation puts the final energy at -26.86 eV per atom.

Lattice parameters (Å, degrees): 3.9805 3.9805 6.8952 90.00 90.00 90.00
Closest atoms and distances in Å follow each position.
Space group I-4m2 (No. 119)
One atom of each set of equivalent atoms:
Fe 0.0000 0.0000 0.0000 [2 per cell]  4 Fe 2.63, 4 Te 2.63, 4 Ru 2.81
Fe 0.0000 0.5000 0.2500 [2 per cell]  4 Fe 2.63, 4 Ru 2.63, 4 Te 2.81
Te 0.0000 0.5000 0.7500 [2 per cell]  4 Ru 2.63, 8 Fe 2.63-2.81
Ru 0.0000 0.0000 0.5000 [2 per cell]  8 Fe 2.63-2.81, 4 Te 2.63



9.
Fe2TeRu | meta-GGA SCAN | single point on PBEsol structure

Computed properties:
For the magnetic moment, the calculation gives 17.15 μB/cell. The calculation puts the final energy at -26.66 eV per atom.

Lattice parameters (Å, degrees): 2.9960 2.9960 23.0014 90.00 90.00 120.00
Closest atoms and distances in Å follow each position.
Space group R3m (No. 160, hexagonal axes)
One atom of each set of equivalent atoms:
Fe 0.0000 0.0000 0.0000 [3 per cell]  3 Fe 2.43, 3 Ru 2.55
Fe 0.0000 0.0000 0.2591 [3 per cell]  3 Fe 2.43, 3 Te 2.65
Te 0.0000 0.0000 0.5054 [3 per cell]  3 Fe 2.65, 3 Ru 2.70
Ru 0.0000 0.0000 0.7484 [3 per cell]  3 Fe 2.55, 3 Te 2.70



10.
Fe2TeRu | meta-GGA SCAN | single point on PBEsol structure

Computed properties:
For the magnetic moment, the calculation gives 5.91 μB/cell. The calculation puts the final energy at -26.85 eV per atom.

Lattice parameters (Å, degrees): 3.7408 3.7408 3.9552 90.00 90.00 90.00
Closest atoms and distances in Å follow each position.
Space group P4/mmm (No. 123)
One atom of each set of equivalent atoms:
Fe 0.0000 0.5000 0.0000 [2 per cell]  4 Fe 2.65, 4 Ru 2.72, 4 Te 2.72
Te 0.0000 0.0000 0.5000 [1 per cell]  4 Ru 2.65, 8 Fe 2.72
Ru 0.5000 0.5000 0.5000 [1 per cell]  4 Te 2.65, 8 Fe 2.72



11.
Ti2FeRu | meta-GGA SCAN | single point on PBEsol structure

Computed properties:
For the formation energy, the calculation gives -0.63 eV per atom. For the magnetic moment, the calculation gives 0.00 μB/cell.

Lattice parameters (Å, degrees): 5.9676 5.9676 5.9676 90.00 90.00 90.00
Closest atoms and distances in Å follow each position.
Space group Fm-3m (No. 225)
One atom of each set of equivalent atoms:
Ti 0.2500 0.2500 0.2500 [8 per cell]  4 Ru 2.58, 4 Fe 2.58
Fe 0.0000 0.0000 0.0000 [4 per cell]  8 Ti 2.58
Ru 0.0000 0.0000 0.5000 [4 per cell]  8 Ti 2.58



12.
TiFe2Ru | meta-GGA SCAN | single point on PBEsol structure

Computed properties:
For the formation energy, the calculation gives -0.23 eV per atom. For the magnetic moment, the calculation gives 19.02 μB/cell.

Lattice parameters (Å, degrees): 5.8638 5.8638 5.8638 90.00 90.00 90.00
Closest atoms and distances in Å follow each position.
Space group Fm-3m (No. 225)
One atom of each set of equivalent atoms:
Ti 0.0000 0.0000 0.0000 [4 per cell]  8 Fe 2.54
Fe 0.2500 0.2500 0.2500 [8 per cell]  4 Ti 2.54, 4 Ru 2.54
Ru 0.0000 0.0000 0.5000 [4 per cell]  8 Fe 2.54



13.
TiFe3Ru | meta-GGA SCAN | single point on PBEsol structure

Computed properties:
For the formation energy, the calculation gives 1.36 eV per atom. For the magnetic moment, the calculation gives 7.67 μB/cell.

Lattice parameters (Å, degrees): 4.1366 4.1366 4.1366 90.00 90.00 90.00
Closest atoms and distances in Å follow each position.
Space group Pm-3m (No. 221)
One atom of each set of equivalent atoms:
Ti 0.0000 0.0000 0.0000 [1 per cell]  6 Fe 2.07
Fe 0.0000 0.0000 0.5000 [3 per cell]  2 Ti 2.07
Ru 0.5000 0.5000 0.5000 [1 per cell]  12 Fe 2.93



14.
TiFeRu3 | meta-GGA SCAN | single point on PBEsol structure

Computed properties:
For the formation energy, the calculation gives 1.30 eV per atom. For the magnetic moment, the calculation gives 4.92 μB/cell.

Lattice parameters (Å, degrees): 4.3866 4.3866 4.3866 90.00 90.00 90.00
Closest atoms and distances in Å follow each position.
Space group Pm-3m (No. 221)
One atom of each set of equivalent atoms:
Ti 0.0000 0.0000 0.0000 [1 per cell]  6 Ru 2.19
Fe 0.5000 0.5000 0.5000 [1 per cell]  12 Ru 3.10
Ru 0.0000 0.0000 0.5000 [3 per cell]  2 Ti 2.19



15.
Tl2FeRu | meta-GGA SCAN | single point on PBEsol structure

Computed properties:
For the formation energy, the calculation gives 0.69 eV per atom. For the magnetic moment, the calculation gives 2.18 μB/cell. The energy above the lowest structure with this stoichiometry comes out at 151 meV/atom.

Lattice parameters (Å, degrees): 4.5837 4.5837 3.2163 90.00 90.00 90.00
Closest atoms and distances in Å follow each position.
Space group P4/mmm (No. 123)
One atom of each set of equivalent atoms:
Tl 0.0000 0.5000 0.0000 [2 per cell]  4 Ru 2.80, 4 Fe 2.80
Fe 0.0000 0.0000 0.5000 [1 per cell]  8 Tl 2.80
Ru 0.5000 0.5000 0.5000 [1 per cell]  8 Tl 2.80